The following is a DFT calculation (GGA-PBE) of a relaxed structure of Ba2YZr.

ΔE_f in eV per atom: 0.342
Polymorph energy (0 for the lowest one) in meV/atom: 25.7

Cell lengths 3.8282, 4.4622, 9.6664 Å; angles 90.00, 90.00, 90.00 degrees
Positions (direct):
Ba (0.0000, 0.0000, 0.0000)
Ba (0.5000, 0.5000, 0.3527)
Y (0.0000, 0.0000, 0.6140)
Zr (0.5000, 0.5000, 0.7537)